[1]
DFT (GGA-PBE) results for a geometry-optimized ZnTcPt2 structure.

Summary:
- ΔH_f (0 K): -0.07 eV/atom

Lattice parameters (Å, degrees): 2.767 4.704 9.370 90.00 90.00 90.00
Fractional positions:
Zn1 0.000 0.000 0.000
Zn2 0.500 0.500 0.500
Tc1 0.000 0.500 0.250
Tc2 0.500 0.000 0.750
Pt1 0.000 0.000 0.504
Pt2 0.000 0.500 0.739
Pt3 0.500 0.000 0.239
Pt4 0.500 0.500 0.004

[2]
DFT (GGA-PBE) results for a geometry-optimized ZnTc2Pt structure.

Summary:
- ΔH_f (0 K): 0.21 eV/atom

Lattice parameters (Å, degrees): 4.724 4.724 2.679 90.00 90.00 90.00
Fractional positions:
Zn1 0.000 0.000 0.000
Tc1 0.000 0.500 0.500
Tc2 0.500 0.000 0.500
Pt1 0.500 0.500 0.000